1.
This record from OQMD describes a relaxed HfZr2Ni2As4Pd2 crystal. The functional is GGA-PBE.

The excess energy over the best structure of this formula in the dataset comes out at 0.014 eV/atom. The calculation puts the total magnetization at 0.001 μB per cell. As for the symmetry: Pm, No. 6. The crystal system is monoclinic.

a b c (Å): 6.513 3.877 7.580
angles (deg): 90.00 91.32 90.00
Atoms (fractional coordinates):
1 Hf 0.000 0.000 0.000
2 Zr 0.063 0.500 0.368
3 Zr 0.502 0.000 0.866
4 Ni 0.390 0.000 0.238
5 Ni 0.682 0.500 0.125
6 As 0.301 0.500 0.071
7 As 0.321 0.000 0.544
8 As 0.761 0.000 0.297
9 As 0.778 0.500 0.813
10 Pd 0.180 0.500 0.745
11 Pd 0.898 0.000 0.616

---

2.
This record from OQMD describes a relaxed HfNiAsPt crystal. The functional is GGA-PBE.

The excess energy over the best structure of this formula in the dataset comes out at 0.055 eV/atom. The calculation puts the total magnetization at 0.000 μB per cell. As for the symmetry: F-43m, No. 216. The crystal system is cubic.

a b c (Å): 4.507 4.507 4.507
angles (deg): 60.00 60.00 60.00
Atoms (fractional coordinates):
1 Hf 0.000 0.000 0.000
2 Ni 0.750 0.750 0.750
3 As 0.500 0.500 0.500
4 Pt 0.250 0.250 0.250

---

3.
This record from OQMD describes a relaxed HfNiAsPt crystal. The functional is GGA-PBE.

The excess energy over the best structure of this formula in the dataset comes out at 0.000 eV/atom. The calculation puts the total magnetization at 0.028 μB per cell. As for the symmetry: F-43m, No. 216. The crystal system is cubic.

a b c (Å): 4.489 4.489 4.489
angles (deg): 60.00 60.00 60.00
Atoms (fractional coordinates):
1 Hf 0.000 0.000 0.000
2 Ni 0.500 0.500 0.500
3 As 0.250 0.250 0.250
4 Pt 0.750 0.750 0.750

---

4.
This record from OQMD describes a relaxed Hf3Ni4Sb2As2 crystal. The functional is GGA-PBE.

Its total energy is -76.56 eV for the cell shown. The calculation puts the total magnetization at 0.004 μB per cell. As for the symmetry: I-42m, No. 121. The crystal system is tetragonal.

a b c (Å): 7.133 7.133 7.133
angles (deg): 130.23 130.23 73.04
Atoms (fractional coordinates):
1 Hf 0.000 0.000 0.000
2 Hf 0.250 0.750 0.500
3 Hf 0.750 0.250 0.500
4 Ni 0.121 0.121 0.486
5 Ni 0.366 0.879 0.000
6 Ni 0.634 0.634 0.514
7 Ni 0.879 0.366 0.000
8 Sb 0.265 0.265 0.000
9 Sb 0.735 0.735 0.000
10 As 0.000 0.500 0.500
11 As 0.500 0.000 0.500

---

5.
This record from OQMD describes a relaxed HfTcNiAs crystal. The functional is GGA-PBE.

The excess energy over the best structure of this formula in the dataset comes out at 0.000 eV/atom. The calculation puts the total magnetization at 0.253 μB per cell. As for the symmetry: F-43m, No. 216. The crystal system is cubic.

a b c (Å): 4.411 4.411 4.411
angles (deg): 60.00 60.00 60.00
Atoms (fractional coordinates):
1 Hf 0.000 0.000 0.000
2 Tc 0.250 0.250 0.250
3 Ni 0.750 0.750 0.750
4 As 0.500 0.500 0.500

---

6.
This record from OQMD describes a relaxed HfTcNiAs crystal. The functional is GGA-PBE.

The excess energy over the best structure of this formula in the dataset comes out at 0.340 eV/atom. The calculation puts the total magnetization at 0.073 μB per cell. As for the symmetry: F-43m, No. 216. The crystal system is cubic.

a b c (Å): 4.464 4.464 4.464
angles (deg): 60.00 60.00 60.00
Atoms (fractional coordinates):
1 Hf 0.000 0.000 0.000
2 Tc 0.750 0.750 0.750
3 Ni 0.500 0.500 0.500
4 As 0.250 0.250 0.250

---

7.
This record from OQMD describes a relaxed YHfNi2As2 crystal. The functional is GGA-PBE.

The excess energy over the best structure of this formula in the dataset comes out at 0.086 eV/atom. The calculation puts the total magnetization at 0.002 μB per cell. As for the symmetry: P6_3/mmc, No. 194. The crystal system is hexagonal.

a b c (Å): 3.955 3.955 15.161
angles (deg): 90.00 90.00 120.00
Atoms (fractional coordinates):
1 Y 0.000 0.000 0.250
2 Y 0.000 0.000 0.750
3 Hf 0.000 0.000 0.000
4 Hf 0.000 0.000 0.500
5 Ni 0.333 0.667 0.110
6 Ni 0.333 0.667 0.390
7 Ni 0.667 0.333 0.610
8 Ni 0.667 0.333 0.890
9 As 0.333 0.667 0.621
10 As 0.333 0.667 0.879
11 As 0.667 0.333 0.121
12 As 0.667 0.333 0.379

---

8.
This record from OQMD describes a relaxed YHfNi2As2 crystal. The functional is GGA-PBE.

The excess energy over the best structure of this formula in the dataset comes out at 0.000 eV/atom. The calculation puts the total magnetization at 0.003 μB per cell. As for the symmetry: P6_3/mmc, No. 194. The crystal system is hexagonal.

a b c (Å): 3.989 3.989 14.872
angles (deg): 90.00 90.00 120.00
Atoms (fractional coordinates):
1 Y 0.000 0.000 0.000
2 Y 0.000 0.000 0.500
3 Hf 0.000 0.000 0.250
4 Hf 0.000 0.000 0.750
5 Ni 0.333 0.667 0.159
6 Ni 0.333 0.667 0.341
7 Ni 0.667 0.333 0.659
8 Ni 0.667 0.333 0.841
9 As 0.333 0.667 0.623
10 As 0.333 0.667 0.877
11 As 0.667 0.333 0.123
12 As 0.667 0.333 0.377

---

9.
This record from OQMD describes a relaxed HfZnNiAs crystal. The functional is GGA-PBE.

Its total energy is -21.99 eV for the cell shown. The calculation puts the total magnetization at 0.024 μB per cell. As for the symmetry: F-43m, No. 216. The crystal system is cubic.

a b c (Å): 4.471 4.471 4.471
angles (deg): 60.00 60.00 60.00
Atoms (fractional coordinates):
1 Hf 0.000 0.000 0.000
2 Zn 0.750 0.750 0.750
3 Ni 0.500 0.500 0.500
4 As 0.250 0.250 0.250

---

10.
This record from OQMD describes a relaxed HfNpAs crystal. The functional is GGA-PBE.

The excess energy over the best structure of this formula in the dataset comes out at 0.000 eV/atom. The calculation puts the total magnetization at 4.990 μB per cell. As for the symmetry: F-43m, No. 216. The crystal system is cubic.

a b c (Å): 4.637 4.637 4.637
angles (deg): 60.00 60.00 60.00
Atoms (fractional coordinates):
1 Hf 0.000 0.000 0.000
2 Np 0.500 0.500 0.500
3 As 0.250 0.250 0.250

---

11.
This record from OQMD describes a relaxed Hf2As2O5 crystal. The functional is GGA-PBE.

The excess energy over the best structure of this formula in the dataset comes out at 0.000 eV/atom. The calculation puts the total magnetization at 0.000 μB per cell. As for the symmetry: P4/mmm, No. 123. The crystal system is tetragonal.

a b c (Å): 3.718 3.718 8.547
angles (deg): 90.00 90.00 90.00
Atoms (fractional coordinates):
1 Hf 0.000 0.000 0.232
2 Hf 0.000 0.000 0.768
3 As 0.500 0.500 0.000
4 As 0.500 0.500 0.500
5 O 0.000 0.000 0.000
6 O 0.000 0.500 0.343
7 O 0.000 0.500 0.657
8 O 0.500 0.000 0.343
9 O 0.500 0.000 0.657

---

12.
This record from OQMD describes a relaxed Hf2As2O5 crystal. The functional is GGA-PBE.

The excess energy over the best structure of this formula in the dataset comes out at 1.048 eV/atom. The calculation puts the total magnetization at 0.023 μB per cell. As for the symmetry: P4/mmm, No. 123. The crystal system is tetragonal.

a b c (Å): 4.095 4.095 6.239
angles (deg): 90.00 90.00 90.00
Atoms (fractional coordinates):
1 Hf 0.000 0.000 0.000
2 Hf 0.000 0.000 0.500
3 As 0.500 0.500 0.202
4 As 0.500 0.500 0.798
5 O 0.000 0.500 0.257
6 O 0.000 0.500 0.743
7 O 0.500 0.000 0.257
8 O 0.500 0.000 0.743
9 O 0.500 0.500 0.500